This record from the Alexandria database describes a crystal of TmMg16Al12 relaxed with PBEsol. The functional is SCAN.

Values from the calculation:
Energy   -7.812 eV per atom
Volume   19.73 A^3/atom
ΔH_f (0 K)   -73 meV/atom
Fermi-level density of states   10.603 states/eV/f.u.
Symmetry   I-43m (217)

Geometry as CIF:
```
data_TmMg16Al12
_cell_length_a 9.058
_cell_length_b 9.058
_cell_length_c 9.058
_cell_angle_alpha 109.47
_cell_angle_beta 109.47
_cell_angle_gamma 109.47
_symmetry_space_group_name_H-M 'P 1'
_symmetry_Int_Tables_number 1
loop_
_symmetry_equiv_pos_as_xyz
'x,y,z'
loop_
_atom_site_label
_atom_site_fract_x
_atom_site_fract_y
_atom_site_fract_z
Mg1 0.397 0.397 0.716
Mg2 0.356 0.000 0.000
Mg3 0.681 0.681 0.284
Mg4 0.319 0.000 0.603
Mg5 0.603 0.000 0.319
Mg6 0.603 0.319 0.000
Mg7 0.000 0.319 0.603
Mg8 0.681 0.284 0.681
Mg9 0.284 0.681 0.681
Mg10 0.000 0.356 0.000
Mg11 0.000 0.000 0.356
Mg12 0.000 0.603 0.319
Mg13 0.716 0.397 0.397
Mg14 0.644 0.644 0.644
Mg15 0.319 0.603 0.000
Mg16 0.397 0.716 0.397
Al1 0.000 0.814 0.633
Al2 0.633 0.814 0.000
Al3 0.819 0.186 0.186
Al4 0.186 0.819 0.186
Al5 0.181 0.367 0.367
Al6 0.814 0.633 0.000
Al7 0.814 0.000 0.633
Al8 0.000 0.633 0.814
Al9 0.367 0.367 0.181
Al10 0.367 0.181 0.367
Al11 0.186 0.186 0.819
Al12 0.633 0.000 0.814
Tm1 0.000 0.000 0.000
```

=====

This record from the Alexandria database describes a crystal of TmMg16Al12 relaxed with PBEsol. The functional is SCAN.

Values from the calculation:
Energy   -7.804 eV per atom
Volume   19.80 A^3/atom
ΔH_f (0 K)   -64 meV/atom
Fermi-level density of states   9.222 states/eV/f.u.
Symmetry   R3m (160)

Geometry as CIF:
```
data_TmMg16Al12
_cell_length_a 8.902
_cell_length_b 9.125
_cell_length_c 9.125
_cell_angle_alpha 70.04
_cell_angle_beta 71.02
_cell_angle_gamma 108.98
_symmetry_space_group_name_H-M 'P 1'
_symmetry_Int_Tables_number 1
loop_
_symmetry_equiv_pos_as_xyz
'x,y,z'
loop_
_atom_site_label
_atom_site_fract_x
_atom_site_fract_y
_atom_site_fract_z
Mg1 0.718 0.402 0.598
Mg2 0.278 0.670 0.330
Mg3 0.394 0.706 0.606
Mg4 0.998 0.000 0.657
Mg5 0.688 0.294 0.313
Mg6 0.655 0.657 0.343
Mg7 0.316 0.598 0.000
Mg8 0.607 0.330 0.000
Mg9 0.000 0.313 0.394
Mg10 0.316 0.000 0.402
Mg11 0.000 0.606 0.687
Mg12 0.607 0.000 0.670
Mg13 0.394 0.394 0.294
Mg14 0.000 0.000 0.000
Mg15 0.998 0.343 0.000
Mg16 0.688 0.687 0.706
Al1 0.004 0.816 0.363
Al2 0.625 0.000 0.184
Al3 0.367 0.179 0.637
Al4 0.809 0.184 0.816
Al5 0.187 0.821 0.816
Al6 0.173 0.362 0.638
Al7 0.004 0.637 0.184
Al8 0.367 0.363 0.821
Al9 0.187 0.184 0.179
Al10 0.811 0.638 0.000
Al11 0.811 0.000 0.362
Al12 0.625 0.816 0.000
Tm1 0.372 0.000 0.000
```

=====

This record from the Alexandria database describes a crystal of YMgAl2 relaxed with PBEsol. The functional is SCAN.

Values from the calculation:
Energy   -12.296 eV per atom
Volume   20.73 A^3/atom
ΔH_f (0 K)   -216 meV/atom
Fermi-level density of states   1.914 states/eV/f.u.
Symmetry   P4/mmm (123)

Geometry as CIF:
```
data_YMgAl2
_cell_length_a 3.452
_cell_length_b 3.452
_cell_length_c 6.958
_cell_angle_alpha 90.00
_cell_angle_beta 90.00
_cell_angle_gamma 90.00
_symmetry_space_group_name_H-M 'P 1'
_symmetry_Int_Tables_number 1
loop_
_symmetry_equiv_pos_as_xyz
'x,y,z'
loop_
_atom_site_label
_atom_site_fract_x
_atom_site_fract_y
_atom_site_fract_z
Mg1 0.500 0.500 0.000
Y1 0.500 0.500 0.500
Al1 0.000 0.000 0.782
Al2 0.000 0.000 0.218
```

=====

This record from the Alexandria database describes a crystal of YMgAl relaxed with PBEsol. The functional is SCAN.

Values from the calculation:
Energy   -13.663 eV per atom
Volume   26.10 A^3/atom
ΔH_f (0 K)   -141 meV/atom
Fermi-level density of states   2.599 states/eV/f.u.
Symmetry   F-43m (216)

Geometry as CIF:
```
data_YMgAl
_cell_length_a 4.802
_cell_length_b 4.802
_cell_length_c 4.802
_cell_angle_alpha 60.00
_cell_angle_beta 60.00
_cell_angle_gamma 60.00
_symmetry_space_group_name_H-M 'P 1'
_symmetry_Int_Tables_number 1
loop_
_symmetry_equiv_pos_as_xyz
'x,y,z'
loop_
_atom_site_label
_atom_site_fract_x
_atom_site_fract_y
_atom_site_fract_z
Al1 0.250 0.250 0.250
Y1 0.500 0.500 0.500
Mg1 0.000 0.000 0.000
```

=====

This record from the Alexandria database describes a crystal of YMg16Al12 relaxed with PBEsol. The functional is SCAN.

Values from the calculation:
Energy   -6.982 eV per atom
Volume   19.87 A^3/atom
ΔH_f (0 K)   -70 meV/atom
Fermi-level density of states   9.190 states/eV/f.u.
Symmetry   R3m (160)

Geometry as CIF:
```
data_YMg16Al12
_cell_length_a 8.910
_cell_length_b 9.138
_cell_length_c 9.138
_cell_angle_alpha 70.03
_cell_angle_beta 71.03
_cell_angle_gamma 108.97
_symmetry_space_group_name_H-M 'P 1'
_symmetry_Int_Tables_number 1
loop_
_symmetry_equiv_pos_as_xyz
'x,y,z'
loop_
_atom_site_label
_atom_site_fract_x
_atom_site_fract_y
_atom_site_fract_z
Al1 0.810 0.184 0.816
Al2 0.626 0.816 0.000
Al3 0.187 0.820 0.816
Al4 0.366 0.364 0.820
Al5 0.626 0.000 0.184
Al6 0.811 0.638 0.000
Al7 0.366 0.180 0.636
Al8 0.187 0.184 0.180
Al9 0.002 0.816 0.364
Al10 0.002 0.636 0.184
Al11 0.174 0.362 0.638
Al12 0.811 0.000 0.362
Mg1 0.316 0.000 0.402
Mg2 0.999 0.000 0.000
Mg3 0.688 0.294 0.313
Mg4 0.998 0.000 0.657
Mg5 0.394 0.706 0.606
Mg6 0.608 0.331 0.000
Mg7 0.608 0.000 0.669
Mg8 0.000 0.606 0.687
Mg9 0.998 0.343 0.000
Mg10 0.394 0.394 0.294
Mg11 0.278 0.669 0.331
Mg12 0.717 0.402 0.598
Mg13 0.316 0.598 0.000
Mg14 0.000 0.313 0.394
Mg15 0.655 0.657 0.343
Mg16 0.688 0.687 0.706
Y1 0.373 0.000 0.000
```

=====

This record from the Alexandria database describes a crystal of YMgAl2 relaxed with PBEsol. The functional is SCAN.

Values from the calculation:
Energy   -12.435 eV per atom
Volume   20.39 A^3/atom
ΔH_f (0 K)   -355 meV/atom
Fermi-level density of states   1.077 states/eV/f.u.
Symmetry   P4/mmm (123)

Geometry as CIF:
```
data_YMgAl2
_cell_length_a 4.292
_cell_length_b 4.359
_cell_length_c 4.359
_cell_angle_alpha 90.00
_cell_angle_beta 90.00
_cell_angle_gamma 90.00
_symmetry_space_group_name_H-M 'P 1'
_symmetry_Int_Tables_number 1
loop_
_symmetry_equiv_pos_as_xyz
'x,y,z'
loop_
_atom_site_label
_atom_site_fract_x
_atom_site_fract_y
_atom_site_fract_z
Mg1 0.500 0.500 0.500
Al1 0.000 0.000 0.500
Al2 0.000 0.500 0.000
Y1 0.500 0.000 0.000
```

=====

This record from the Alexandria database describes a crystal of YMgAl relaxed with PBEsol. The functional is SCAN.

Values from the calculation:
Energy   -13.829 eV per atom
Volume   22.84 A^3/atom
ΔH_f (0 K)   -307 meV/atom
Fermi-level density of states   2.010 states/eV/f.u.
Symmetry   P-6m2 (187)

Geometry as CIF:
```
data_YMgAl
_cell_length_a 3.428
_cell_length_b 4.804
_cell_length_c 4.804
_cell_angle_alpha 120.00
_cell_angle_beta 90.00
_cell_angle_gamma 90.00
_symmetry_space_group_name_H-M 'P 1'
_symmetry_Int_Tables_number 1
loop_
_symmetry_equiv_pos_as_xyz
'x,y,z'
loop_
_atom_site_label
_atom_site_fract_x
_atom_site_fract_y
_atom_site_fract_z
Mg1 0.833 0.333 0.667
Y1 0.333 0.667 0.333
Al1 0.833 0.000 0.000
```

=====

This record from the Alexandria database describes a crystal of YMg16Al12 relaxed with PBEsol. The functional is SCAN.

Values from the calculation:
Energy   -6.990 eV per atom
Volume   19.79 A^3/atom
ΔH_f (0 K)   -78 meV/atom
Fermi-level density of states   10.671 states/eV/f.u.
Symmetry   I-43m (217)

Geometry as CIF:
```
data_YMg16Al12
_cell_length_a 9.068
_cell_length_b 9.068
_cell_length_c 9.068
_cell_angle_alpha 109.47
_cell_angle_beta 109.47
_cell_angle_gamma 109.47
_symmetry_space_group_name_H-M 'P 1'
_symmetry_Int_Tables_number 1
loop_
_symmetry_equiv_pos_as_xyz
'x,y,z'
loop_
_atom_site_label
_atom_site_fract_x
_atom_site_fract_y
_atom_site_fract_z
Al1 0.181 0.368 0.368
Al2 0.813 0.632 0.000
Al3 0.187 0.187 0.819
Al4 0.632 0.000 0.813
Al5 0.813 0.000 0.632
Al6 0.000 0.632 0.813
Al7 0.819 0.187 0.187
Al8 0.368 0.368 0.181
Al9 0.368 0.181 0.368
Al10 0.000 0.813 0.632
Al11 0.632 0.813 0.000
Al12 0.187 0.819 0.187
Mg1 0.000 0.319 0.603
Mg2 0.319 0.000 0.603
Mg3 0.000 0.358 0.000
Mg4 0.642 0.642 0.642
Mg5 0.000 0.000 0.358
Mg6 0.283 0.681 0.681
Mg7 0.397 0.397 0.717
Mg8 0.397 0.717 0.397
Mg9 0.681 0.681 0.283
Mg10 0.319 0.603 0.000
Mg11 0.358 0.000 0.000
Mg12 0.603 0.319 0.000
Mg13 0.000 0.603 0.319
Mg14 0.681 0.283 0.681
Mg15 0.603 0.000 0.319
Mg16 0.717 0.397 0.397
Y1 0.000 0.000 0.000
```

=====

This record from the Alexandria database describes a crystal of YMgAl relaxed with PBEsol. The functional is SCAN.

Values from the calculation:
Energy   -13.897 eV per atom
Volume   23.12 A^3/atom
ΔH_f (0 K)   -374 meV/atom
Fermi-level density of states   0.428 states/eV/f.u.
Symmetry   P-62m (189)

Geometry as CIF:
```
data_YMgAl
_cell_length_a 4.504
_cell_length_b 7.304
_cell_length_c 7.304
_cell_angle_alpha 120.00
_cell_angle_beta 90.00
_cell_angle_gamma 90.00
_symmetry_space_group_name_H-M 'P 1'
_symmetry_Int_Tables_number 1
loop_
_symmetry_equiv_pos_as_xyz
'x,y,z'
loop_
_atom_site_label
_atom_site_fract_x
_atom_site_fract_y
_atom_site_fract_z
Y1 0.000 0.433 0.433
Y2 0.000 0.000 0.567
Y3 0.000 0.567 0.000
Al1 0.500 0.667 0.333
Al2 0.500 0.333 0.667
Al3 0.000 0.000 0.000
Mg1 0.500 0.242 0.000
Mg2 0.500 0.758 0.758
Mg3 0.500 0.000 0.242
```

=====

This record from the Alexandria database describes a crystal of MgAl2Zn relaxed with PBEsol. The functional is SCAN.

Values from the calculation:
Energy   -8.517 eV per atom
Volume   16.91 A^3/atom
ΔH_f (0 K)   -19 meV/atom
Fermi-level density of states   1.044 states/eV/f.u.
Symmetry   P4/mmm (123)

Geometry as CIF:
```
data_MgAl2Zn
_cell_length_a 4.012
_cell_length_b 4.012
_cell_length_c 4.201
_cell_angle_alpha 90.00
_cell_angle_beta 90.00
_cell_angle_gamma 90.00
_symmetry_space_group_name_H-M 'P 1'
_symmetry_Int_Tables_number 1
loop_
_symmetry_equiv_pos_as_xyz
'x,y,z'
loop_
_atom_site_label
_atom_site_fract_x
_atom_site_fract_y
_atom_site_fract_z
Zn1 0.000 0.000 0.500
Mg1 0.500 0.500 0.500
Al1 0.500 0.000 0.000
Al2 0.000 0.500 0.000
```

=====

This record from the Alexandria database describes a crystal of MgAl2Zn relaxed with PBEsol. The functional is SCAN.

Values from the calculation:
Energy   -8.489 eV per atom
Volume   17.11 A^3/atom
ΔH_f (0 K)   9 meV/atom
Fermi-level density of states   1.362 states/eV/f.u.
Symmetry   Cm (8)

Geometry as CIF:
```
data_MgAl2Zn
_cell_length_a 3.001
_cell_length_b 4.848
_cell_length_c 5.039
_cell_angle_alpha 100.43
_cell_angle_beta 90.00
_cell_angle_gamma 108.03
_symmetry_space_group_name_H-M 'P 1'
_symmetry_Int_Tables_number 1
loop_
_symmetry_equiv_pos_as_xyz
'x,y,z'
loop_
_atom_site_label
_atom_site_fract_x
_atom_site_fract_y
_atom_site_fract_z
Al1 0.254 0.508 0.765
Al2 0.004 0.007 0.998
Zn1 0.746 0.491 0.246
Mg1 0.497 0.993 0.491
```

=====

This record from the Alexandria database describes a crystal of Mg16Al12Zn relaxed with PBEsol. The functional is SCAN.

Values from the calculation:
Energy   -6.420 eV per atom
Volume   19.63 A^3/atom
ΔH_f (0 K)   -2 meV/atom
Fermi-level density of states   10.820 states/eV/f.u.
Symmetry   I-43m (217)

Geometry as CIF:
```
data_Mg16Al12Zn
_cell_length_a 9.043
_cell_length_b 9.043
_cell_length_c 9.043
_cell_angle_alpha 109.47
_cell_angle_beta 109.47
_cell_angle_gamma 109.47
_symmetry_space_group_name_H-M 'P 1'
_symmetry_Int_Tables_number 1
loop_
_symmetry_equiv_pos_as_xyz
'x,y,z'
loop_
_atom_site_label
_atom_site_fract_x
_atom_site_fract_y
_atom_site_fract_z
Al1 0.632 0.814 0.000
Al2 0.814 0.632 0.000
Al3 0.632 0.000 0.814
Al4 0.186 0.186 0.817
Al5 0.183 0.368 0.368
Al6 0.000 0.814 0.632
Al7 0.186 0.817 0.186
Al8 0.817 0.186 0.186
Al9 0.000 0.632 0.814
Al10 0.368 0.183 0.368
Al11 0.814 0.000 0.632
Al12 0.368 0.368 0.183
Mg1 0.599 0.000 0.313
Mg2 0.000 0.331 0.000
Mg3 0.313 0.599 0.000
Mg4 0.000 0.599 0.313
Mg5 0.687 0.687 0.285
Mg6 0.000 0.313 0.599
Mg7 0.401 0.715 0.401
Mg8 0.331 0.000 0.000
Mg9 0.687 0.285 0.687
Mg10 0.715 0.401 0.401
Mg11 0.313 0.000 0.599
Mg12 0.669 0.669 0.669
Mg13 0.000 0.000 0.331
Mg14 0.401 0.401 0.715
Mg15 0.285 0.687 0.687
Mg16 0.599 0.313 0.000
Zn1 0.000 0.000 0.000
```